Entry 1:
Zr3NiGe3 | Alexandria via LeMat-Bulk | PBE | optimized geometry; E_form = -799 meV/atom; calculated volume = 17.72 Å³/atom
1.0
5.026 -1.972 0.000
5.026 1.972 0.000
-4.521 0.000 12.518
Zr Ni Ge
6 2 6
direct
0.020 0.020 0.380 Zr
0.103 0.103 0.920 Zr
0.242 0.242 0.229 Zr
0.758 0.758 0.771 Zr
0.897 0.897 0.080 Zr
0.980 0.980 0.620 Zr
0.264 0.264 0.610 Ni
0.736 0.736 0.390 Ni
0.357 0.357 0.458 Ge
0.377 0.377 0.924 Ge
0.476 0.476 0.764 Ge
0.524 0.524 0.236 Ge
0.623 0.623 0.076 Ge
0.643 0.643 0.542 Ge



Entry 2:
Y3FeCo | Alexandria via LeMat-Bulk | PBE | optimized geometry; E_form = 488 meV/atom; energy above the lowest structure with this stoichiometry = 0.0000 eV/atom; calculated volume = 26.27 Å³/atom
1.0
5.083 0.000 0.000
0.000 5.083 0.000
0.000 0.000 5.083
Y Fe Co
3 1 1
direct
0.000 0.000 0.500 Y
0.000 0.500 0.000 Y
0.500 0.000 0.000 Y
0.000 0.000 0.000 Fe
0.500 0.500 0.500 Co



Entry 3:
La2TbNd4Sm2 | Alexandria via LeMat-Bulk | PBE | optimized geometry; E_form = 9 meV/atom; calculated volume = 35.10 Å³/atom
1.0
9.604 -1.854 0.000
9.604 1.854 0.000
-4.255 0.000 8.872
La Tb Nd Sm
2 1 4 2
direct
0.166 0.166 0.499 La
0.834 0.834 0.501 La
0.500 0.500 0.500 Tb
0.019 0.019 0.832 Nd
0.315 0.315 0.167 Nd
0.685 0.685 0.833 Nd
0.981 0.981 0.168 Nd
0.352 0.352 0.833 Sm
0.648 0.648 0.167 Sm